DFT (PBE) results for crystalline Re2PRu at its relaxed geometry.

Results
The formation energy comes out at -0.121 eV/atom.

Unit cell a=5.1018 b=5.1018 c=5.1018 alpha=147.35 beta=129.33 gamma=61.59
With the nearest neighbours (Å) after each atom.
Element x y z (fractional)
Re (0.0000, 0.0000, 0.0000)  2 P 2.40, 4 Ru 2.68
Re (0.7172, 0.2172, 0.5000)  4 P 2.61, 6 Re 2.86-2.90, 4 Ru 2.88
P (0.2195, 0.7195, 0.5000)  2 Ru 2.35, 6 Re 2.40-2.61
Ru (0.4323, 0.4323, 0.0000)  2 P 2.35


DFT (PBE) results for crystalline NbTc3Br at its relaxed geometry.

Results
Its uncorrected formation energy is 1.959 eV per atom.

Unit cell a=4.9043 b=4.9043 c=4.9043 alpha=90.00 beta=90.00 gamma=90.00
With the nearest neighbours (Å) after each atom.
Element x y z (fractional)
Nb (0.0000, 0.0000, 0.0000)  6 Tc 2.45
Tc (0.0000, 0.0000, 0.5000)  2 Nb 2.45
Tc (0.0000, 0.5000, 0.0000)  2 Nb 2.45
Tc (0.5000, 0.0000, 0.0000)  2 Nb 2.45
Br (0.5000, 0.5000, 0.5000)  12 Tc 3.47